VASP calculation (PBE-GGA) on a relaxed structure of MnCoSbI2.

Lattice parameters (Å, degrees): 5.329 5.329 4.752 90.00 90.00 90.00
Space group P4/mmm (No. 123)
Inequivalent atoms, fractional coordinates:
1 Mn 0.000 0.000 0.000
2 Co 0.500 0.500 0.500
3 Sb 0.500 0.500 0.000
4 I 0.000 0.500 0.500

Properties
D(E_F): 10.66 states/eV/f.u.
Formation energy (no corrections): 6.106 eV/f.u.
E_tot: -3.478 eV per atom
Calculated volume: 134.9 Å³/cell
Crystal system: tetragonal

---

VASP calculation (PBE-GGA) on a relaxed structure of NbHW.

Lattice parameters (Å, degrees): 3.284 4.738 5.524 65.52 72.73 89.72
Space group P1 (No. 1)
Inequivalent atoms, fractional coordinates:
1 Nb 0.000 0.000 0.000
2 Nb 0.256 0.762 0.493
3 H 0.589 0.920 0.816
4 H 0.851 0.385 0.739
5 W 0.488 0.489 0.017
6 W 0.762 0.272 0.467

Properties
D(E_F): 1.10 states/eV/f.u.
E_tot: -8.817 eV per atom
Calculated volume: 74.0 Å³/cell
Crystal system: triclinic

---

VASP calculation (PBE-GGA) on a relaxed structure of SrHf2Sc.

Lattice parameters (Å, degrees): 4.418 4.418 22.381 90.00 90.00 90.00
Space group I-42d (No. 122)
Inequivalent atoms, fractional coordinates:
1 Sr 0.000 0.000 0.000
2 Hf 0.235 0.250 0.625
3 Sc 0.000 0.000 0.500

Properties
D(E_F): 6.81 states/eV/f.u.
E_tot: -6.106 eV per atom
Calculated volume: 436.9 Å³/cell
Crystal system: tetragonal
Formation energy from the elements: 0.87 eV/atom

---

VASP calculation (PBE-GGA) on a relaxed structure of Ti2Si2Ge.

Lattice parameters (Å, degrees): 3.410 3.410 13.832 90.00 90.00 90.00
Space group I4/mmm (No. 139)
Inequivalent atoms, fractional coordinates:
1 Ti 0.000 0.000 0.105
2 Si 0.000 0.500 0.250
3 Ge 0.000 0.000 0.500

Properties
D(E_F): 2.94 states/eV/f.u.
Formation energy (no corrections): -2.014 eV/f.u.
E_tot: -6.653 eV per atom
Calculated volume: 160.8 Å³/cell
Crystal system: tetragonal

---

VASP calculation (PBE-GGA) on a relaxed structure of YAg2Te.

Lattice parameters (Å, degrees): 7.245 7.245 7.245 90.00 90.00 90.00
Space group F-43m (No. 216)
Inequivalent atoms, fractional coordinates:
1 Y 0.000 0.000 0.000
2 Ag 0.000 0.000 0.500
3 Ag 0.250 0.250 0.250
4 Te 0.250 0.250 0.750

Properties
D(E_F): 4.25 states/eV/f.u.
Formation energy (no corrections): -1.217 eV/f.u.
E_tot: -4.131 eV per atom
Calculated volume: 380.3 Å³/cell
Crystal system: cubic

---

VASP calculation (PBE-GGA) on a relaxed structure of Ba2CaMg3Pb4.

Lattice parameters (Å, degrees): 5.071 5.071 12.767 90.00 90.00 90.00
Space group P-4m2 (No. 115)
Inequivalent atoms, fractional coordinates:
1 Ba 0.000 0.500 0.241
2 Ca 0.000 0.000 0.500
3 Mg 0.000 0.500 0.867
4 Mg 0.500 0.500 0.500
5 Pb 0.000 0.000 0.000
6 Pb 0.000 0.500 0.644
7 Pb 0.500 0.500 0.000

Properties
D(E_F): 3.36 states/eV/f.u.
E_tot: -2.964 eV per atom
Calculated volume: 328.4 Å³/cell
Crystal system: tetragonal
Formation energy from the elements: -0.42 eV/atom

---

VASP calculation (PBE-GGA) on a relaxed structure of Sr2PaTlO6.

Lattice parameters (Å, degrees): 6.181 6.181 4.493 90.00 90.00 90.00
Space group P4mm (No. 99)
Inequivalent atoms, fractional coordinates:
1 Sr 0.000 0.500 0.000
2 Pa 0.000 0.000 0.604
3 Tl 0.500 0.500 0.589
4 O 0.000 0.000 0.115
5 O 0.241 0.241 0.661
6 O 0.500 0.500 0.108

Properties
D(E_F): 0.00 states/eV/f.u.
Formation energy (no corrections): -25.139 eV/f.u.
E_tot: -7.011 eV per atom
Calculated volume: 171.7 Å³/cell
Crystal system: tetragonal

---

VASP calculation (PBE-GGA) on a relaxed structure of Zn2InPt.

Lattice parameters (Å, degrees): 9.219 2.995 4.958 90.00 98.91 90.00
Space group Cm (No. 8)
Inequivalent atoms, fractional coordinates:
1 Zn 0.000 0.000 0.000
2 Zn 0.248 0.500 0.222
3 In 0.011 0.500 0.510
4 Pt 0.261 0.000 0.773

Properties
D(E_F): 1.33 states/eV/f.u.
E_tot: -3.009 eV per atom
Calculated volume: 135.2 Å³/cell
Crystal system: monoclinic
Formation energy from the elements: -0.18 eV/atom

---

VASP calculation (PBE-GGA) on a relaxed structure of SmDy8Y4.

Lattice parameters (Å, degrees): 7.3257 7.3257 27.0640 90.00 90.00 120.00
Space group R-3m (No. 166, hexagonal axes)
Inequivalent atoms, fractional coordinates:
1 Sm 0.0000 0.0000 0.0000
2 Dy 0.0000 0.0000 0.2821
3 Dy 0.0380 0.5190 0.2689
4 Y 0.0000 0.0000 0.5000
5 Y 0.0000 0.5000 0.5000

Properties
D(E_F): 16.99 states/eV/f.u.
E_tot: -4.986 eV per atom
Calculated volume: 1257.8 Å³/cell
Crystal system: trigonal
Formation energy from the elements: 0.20 eV/atom

---

VASP calculation (PBE-GGA) on a relaxed structure of Zn2Ir.

Lattice parameters (Å, degrees): 10.294 2.812 6.250 90.00 105.89 90.00
Space group C2/m (No. 12)
Inequivalent atoms, fractional coordinates:
1 Zn 0.029 0.000 0.293
2 Zn 0.195 0.500 0.639
3 Ir 0.141 0.500 0.021

Properties
D(E_F): 0.92 states/eV/f.u.
E_tot: -3.920 eV per atom
Calculated volume: 174.0 Å³/cell
Crystal system: monoclinic
Formation energy from the elements: -0.12 eV/atom

---

VASP calculation (PBE-GGA) on a relaxed structure of SrNi6C.

Lattice parameters (Å, degrees): 5.3049 5.3049 13.0330 90.00 90.00 120.00
Space group R-3m (No. 166, hexagonal axes)
Inequivalent atoms, fractional coordinates:
1 Sr 0.0000 0.0000 0.0000
2 Ni 0.0188 0.5094 0.9084
3 C 0.0000 0.0000 0.5000

Properties
D(E_F): 9.74 states/eV/f.u.
E_tot: -5.538 eV per atom
Calculated volume: 317.6 Å³/cell
Crystal system: trigonal
Formation energy from the elements: 0.16 eV/atom

---

VASP calculation (PBE-GGA) on a relaxed structure of Ce2SnP3Ir4.

Lattice parameters (Å, degrees): 4.059 4.059 10.763 90.00 90.00 90.00
Space group P-4m2 (No. 115)
Inequivalent atoms, fractional coordinates:
1 Ce 0.000 0.500 0.236
2 Sn 0.000 0.000 0.500
3 P 0.000 0.500 0.873
4 P 0.500 0.500 0.500
5 Ir 0.000 0.000 0.000
6 Ir 0.000 0.500 0.660
7 Ir 0.500 0.500 0.000

Properties
D(E_F): 5.79 states/eV/f.u.
E_tot: -7.591 eV per atom
Calculated volume: 177.3 Å³/cell
Crystal system: tetragonal
Formation energy from the elements: -0.84 eV/atom

---

VASP calculation (PBE-GGA) on a relaxed structure of AgRh2Se.

Lattice parameters (Å, degrees): 2.962 4.118 5.440 90.00 103.75 90.00
Space group P2/m (No. 10)
Inequivalent atoms, fractional coordinates:
1 Ag 0.000 0.000 0.000
2 Rh 0.378 0.500 0.732
3 Se 0.500 0.000 0.500

Properties
D(E_F): 3.79 states/eV/f.u.
Formation energy (no corrections): 0.699 eV/f.u.
E_tot: -5.085 eV per atom
Calculated volume: 64.5 Å³/cell
Crystal system: monoclinic

---

VASP calculation (PBE-GGA) on a relaxed structure of U3Si3Os2.

Lattice parameters (Å, degrees): 7.709 14.154 5.499 90.00 90.00 90.00
Space group Pnma (No. 62)
Inequivalent atoms, fractional coordinates:
1 U 0.032 0.107 0.110
2 U 0.171 0.250 0.630
3 Si 0.184 0.037 0.601
4 Si 0.184 0.750 0.634
5 Os 0.104 0.611 0.374

Properties
D(E_F): 14.39 states/eV/f.u.
Formation energy (no corrections): -2.602 eV/f.u.
E_tot: -9.399 eV per atom
Calculated volume: 599.9 Å³/cell
Crystal system: orthorhombic

---

VASP calculation (PBE-GGA) on a relaxed structure of HgTeAs2.

Lattice parameters (Å, degrees): 13.669 3.647 5.013 90.00 92.34 90.00
Space group Cm (No. 8)
Inequivalent atoms, fractional coordinates:
1 Hg 0.000 0.000 0.000
2 Te 0.389 0.500 0.501
3 As 0.193 0.000 0.104
4 As 0.193 0.500 0.445

Properties
D(E_F): 0.61 states/eV/f.u.
Formation energy (no corrections): 0.404 eV/f.u.
E_tot: -3.085 eV per atom
Calculated volume: 249.7 Å³/cell
Crystal system: monoclinic

---

VASP calculation (PBE-GGA) on a relaxed structure of ZrInSe2.

Lattice parameters (Å, degrees): 8.175 8.175 6.730 90.00 90.00 90.00
Space group I4/mcm (No. 140)
Inequivalent atoms, fractional coordinates:
1 Zr 0.000 0.500 0.250
2 In 0.000 0.000 0.250
3 Se 0.174 0.326 0.000

Properties
D(E_F): 3.84 states/eV/f.u.
Formation energy (no corrections): -2.882 eV/f.u.
E_tot: -5.284 eV per atom
Calculated volume: 449.7 Å³/cell
Crystal system: tetragonal

---

VASP calculation (PBE-GGA) on a relaxed structure of BaNi2Ir.

Lattice parameters (Å, degrees): 2.988 4.925 9.798 90.00 90.00 90.00
Space group Imm2 (No. 44)
Inequivalent atoms, fractional coordinates:
1 Ba 0.000 0.000 0.000
2 Ni 0.000 0.000 0.505
3 Ni 0.000 0.500 0.215
4 Ir 0.000 0.500 0.790

Properties
D(E_F): 6.18 states/eV/f.u.
E_tot: -4.969 eV per atom
Calculated volume: 144.2 Å³/cell
Crystal system: orthorhombic
Formation energy from the elements: 0.62 eV/atom

---

VASP calculation (PBE-GGA) on a relaxed structure of Pm2Dy3Ho6Pu.

Lattice parameters (Å, degrees): 6.132 10.628 11.686 90.00 100.12 90.00
Space group C2/m (No. 12)
Inequivalent atoms, fractional coordinates:
1 Pm 0.000 0.167 0.000
2 Dy 0.000 0.000 0.500
3 Dy 0.000 0.333 0.500
4 Ho 0.246 0.500 0.750
5 Ho 0.248 0.335 0.250
6 Pu 0.000 0.500 0.000

Properties
D(E_F): 24.54 states/eV/f.u.
E_tot: -5.379 eV per atom
Calculated volume: 749.7 Å³/cell
Crystal system: monoclinic
Formation energy from the elements: 0.05 eV/atom

---

VASP calculation (PBE-GGA) on a relaxed structure of AgPd6Au5.

Lattice parameters (Å, degrees): 4.411 13.214 6.894 90.00 90.10 90.00
Space group C2/m (No. 12)
Inequivalent atoms, fractional coordinates:
1 Ag 0.000 0.000 0.000
2 Pd 0.000 0.167 0.250
3 Pd 0.000 0.500 0.250
4 Au 0.000 0.000 0.500
5 Au 0.000 0.334 0.000
6 Au 0.000 0.334 0.500

Properties
D(E_F): 10.46 states/eV/f.u.
E_tot: -4.251 eV per atom
Calculated volume: 401.8 Å³/cell
Crystal system: monoclinic
Formation energy from the elements: -0.05 eV/atom

---

VASP calculation (PBE-GGA) on a relaxed structure of Ba2GaTeIr.

Lattice parameters (Å, degrees): 6.046 6.046 4.821 90.00 90.00 90.00
Space group P4/mmm (No. 123)
Inequivalent atoms, fractional coordinates:
1 Ba 0.000 0.500 0.000
2 Ga 0.000 0.000 0.500
3 Te 0.500 0.500 0.500
4 Ir 0.000 0.000 0.000

Properties
D(E_F): 1.03 states/eV/f.u.
Formation energy (no corrections): -3.907 eV/f.u.
E_tot: -4.556 eV per atom
Calculated volume: 176.2 Å³/cell
Crystal system: tetragonal

---

VASP calculation (PBE-GGA) on a relaxed structure of PrSn12Ru4.

Lattice parameters (Å, degrees): 9.506 9.506 9.506 90.00 90.00 90.00
Space group Im-3 (No. 204)
Inequivalent atoms, fractional coordinates:
1 Pr 0.000 0.000 0.000
2 Sn 0.000 0.165 0.332
3 Ru 0.250 0.250 0.250

Properties
D(E_F): 12.76 states/eV/f.u.
E_tot: -5.336 eV per atom
Calculated volume: 859.1 Å³/cell
Crystal system: cubic
Formation energy from the elements: -0.05 eV/atom

---

VASP calculation (PBE-GGA) on a relaxed structure of YMg4Ru.

Lattice parameters (Å, degrees): 7.914 7.914 7.914 90.00 90.00 90.00
Space group F-43m (No. 216)
Inequivalent atoms, fractional coordinates:
1 Y 0.000 0.000 0.000
2 Mg 0.124 0.124 0.624
3 Ru 0.250 0.250 0.250

Properties
D(E_F): 6.37 states/eV/f.u.
E_tot: -3.542 eV per atom
Calculated volume: 495.6 Å³/cell
Crystal system: cubic
Formation energy from the elements: 0.14 eV/atom

---

VASP calculation (PBE-GGA) on a relaxed structure of Ca2CuAu6.

Lattice parameters (Å, degrees): 10.260 5.925 6.096 90.00 90.10 90.00
Space group C2/m (No. 12)
Inequivalent atoms, fractional coordinates:
1 Ca 0.167 0.000 0.151
2 Cu 0.000 0.500 0.000
3 Au 0.087 0.239 0.689
4 Au 0.174 0.500 0.312

Properties
D(E_F): 3.51 states/eV/f.u.
E_tot: -3.565 eV per atom
Calculated volume: 370.6 Å³/cell
Crystal system: monoclinic
Formation energy from the elements: -0.48 eV/atom

---

VASP calculation (PBE-GGA) on a relaxed structure of LiLaPm2.

Lattice parameters (Å, degrees): 3.5567 3.5567 37.4738 90.00 90.00 120.00
Space group R-3m (No. 166, hexagonal axes)
Inequivalent atoms, fractional coordinates:
1 Li 0.0000 0.0000 0.0000
2 La 0.0000 0.0000 0.5000
3 Pm 0.0000 0.0000 0.0880

Properties
D(E_F): 5.29 states/eV/f.u.
E_tot: -3.901 eV per atom
Calculated volume: 410.5 Å³/cell
Crystal system: trigonal
Formation energy from the elements: 0.18 eV/atom